This record from the Alexandria database describes a geometry-optimized KLiCo2 structure. The functional is GGA-PBE.

Cell and atoms, written as CIF:
```
data_KLiCo2
_cell_length_a 4.516
_cell_length_b 4.516
_cell_length_c 18.612
_cell_angle_alpha 90.00
_cell_angle_beta 90.00
_cell_angle_gamma 90.00
_symmetry_space_group_name_H-M 'I 41/a m d'
_symmetry_Int_Tables_number 141
loop_
_symmetry_equiv_pos_as_xyz
'x,y,z'
'-x,-y,-z'
'-y+1/4,x+3/4,z+1/4'
'y+1/4,-x+3/4,-z+1/4'
'-x+1/2,-y,z+1/2'
'x+1/2,y,-z+1/2'
'y+1/4,-x+1/4,z+3/4'
'-y+1/4,x+1/4,-z+3/4'
'x,-y,-z'
'-x,y,z'
'-y+1/4,-x+1/4,-z+3/4'
'y+1/4,x+1/4,z+3/4'
'-x+1/2,y,-z+1/2'
'x+1/2,-y,z+1/2'
'y+1/4,x+3/4,-z+1/4'
'-y+1/4,-x+3/4,z+1/4'
'x+1/2,y+1/2,z+1/2'
'-x+1/2,-y+1/2,-z+1/2'
'-y+3/4,x+1/4,z+3/4'
'y+3/4,-x+1/4,-z+3/4'
'-x,-y+1/2,z'
'x,y+1/2,-z'
'y+3/4,-x+3/4,z+1/4'
'-y+3/4,x+3/4,-z+1/4'
'x+1/2,-y+1/2,-z+1/2'
'-x+1/2,y+1/2,z+1/2'
'-y+3/4,-x+3/4,-z+1/4'
'y+3/4,x+3/4,z+1/4'
'-x,y+1/2,-z'
'x,-y+1/2,z'
'y+3/4,x+1/4,-z+3/4'
'-y+3/4,-x+1/4,z+3/4'
loop_
_atom_site_label
_atom_site_type_symbol
_atom_site_fract_x
_atom_site_fract_y
_atom_site_fract_z
K1 K 0.000 0.250 0.375
Li1 Li 0.000 0.250 0.875
Co1 Co 0.000 0.000 0.000
```

Calculated values
electronic total energy: -53.72 eV/cell
polymorph energy (0 for the lowest one): 471 meV per atom
formation energy from the elements: 3.79 eV per formula unit